The following is a GGA-PBEsol calculation of crystalline YB2Ir3 at its relaxed geometry, from Alexandria via LeMat-Bulk.

Its formation enthalpy at 0 K is -68 kJ per mole of atoms. As for the total moment: 0.00 μB/f.u. The theoretical density comes out at 14.4 Mg/m³.

```
YB2Ir3
1.0
5.4113 0.0000 0.0000
-2.7056 4.6863 0.0000
0.0000 0.0000 3.1296
Y B Ir
1 2 3
Direct
0.0000 0.0000 0.0000
0.3333 0.6667 0.0000
0.6667 0.3333 0.0000
0.0000 0.5000 0.5000
0.5000 0.0000 0.5000
0.5000 0.5000 0.5000
```